1.
# FeTc2As, relaxed, DFT PBE-GGA
# total moment: 2.42 μB per cell
# mass density: 9.61 g/cm³
# polymorph energy (0 for the lowest one): 100 meV/atom
# crystal system: orthorhombic
# E: -8.35 eV/atom
data_FeTc2As
_chemical_formula_sum 'Fe1 Tc2 As1'
_cell_length_a 2.8735
_cell_length_b 3.8577
_cell_length_c 5.0957
_cell_angle_alpha 90.00
_cell_angle_beta 90.00
_cell_angle_gamma 90.00
_space_group_name_H-M_alt 'P m m 2'
_space_group_IT_number 25
_space_group_name_Hall 'P 2 -2'
loop_
_atom_site_label
_atom_site_fract_x
_atom_site_fract_y
_atom_site_fract_z
Fe1 0.0000 0.0000 0.0000
Tc1 0.0000 0.0000 0.4943
Tc2 0.5000 0.5000 0.2599
As1 0.5000 0.5000 0.7658

***

2.
# Nd5Ho3In2, relaxed, DFT PBE-GGA
# total moment: 0.00 μB per cell
# mass density: 7.15 g/cm³
# crystal system: orthorhombic
# E: -4.18 eV/atom
data_Nd5Ho3In2
_chemical_formula_sum 'Nd20 Ho12 In8'
_cell_length_a 13.2589
_cell_length_b 15.6107
_cell_length_c 6.4901
_cell_angle_alpha 90.00
_cell_angle_beta 90.00
_cell_angle_gamma 90.00
_space_group_name_H-M_alt 'I b a m'
_space_group_IT_number 72
_space_group_name_Hall '-I 2 2c'
loop_
_atom_site_label
_atom_site_fract_x
_atom_site_fract_y
_atom_site_fract_z
Nd1 0.0000 0.0000 0.2500
Nd2 0.1277 0.1654 0.0000
Nd3 0.2486 0.5000 0.2500
Ho1 0.0000 0.5000 0.2500
Ho2 0.1036 0.2787 0.5000
In1 0.1252 0.3572 0.0000

***

3.
# RbSb3P, relaxed, DFT PBE-GGA
# total moment: 2.22 μB per cell
# formation energy without anion corrections: 1.950 eV per atom
# mass density: 3.48 g/cm³
# polymorph energy (0 for the lowest one): 1676 meV/atom
# crystal system: cubic
# E: -1.80 eV/atom
data_RbSb3P
_chemical_formula_sum 'Rb1 Sb3 P1'
_cell_length_a 6.1283
_cell_length_b 6.1283
_cell_length_c 6.1283
_cell_angle_alpha 90.00
_cell_angle_beta 90.00
_cell_angle_gamma 90.00
_space_group_name_H-M_alt 'P m -3 m'
_space_group_IT_number 221
_space_group_name_Hall '-P 4 2 3'
loop_
_atom_site_label
_atom_site_fract_x
_atom_site_fract_y
_atom_site_fract_z
Rb1 0.0000 0.0000 0.0000
Sb1 0.0000 0.0000 0.5000
P1 0.5000 0.5000 0.5000

***

4.
# Cs2Hg2Cl7, relaxed, DFT PBE-GGA
# total moment: 0.00 μB per cell
# formation energy without anion corrections: -1.025 eV per atom
# mass density: 4.01 g/cm³
# polymorph energy (0 for the lowest one): 0 meV/atom
# crystal system: monoclinic
# E: -2.41 eV/atom
data_Cs2Hg2Cl7
_chemical_formula_sum 'Cs4 Hg4 Cl14'
_cell_length_a 9.4550
_cell_length_b 15.4107
_cell_length_c 5.4148
_cell_angle_alpha 90.00
_cell_angle_beta 106.35
_cell_angle_gamma 90.00
_space_group_name_H-M_alt 'C 1 2/m 1'
_space_group_IT_number 12
_space_group_name_Hall '-C 2y'
loop_
_atom_site_label
_atom_site_fract_x
_atom_site_fract_y
_atom_site_fract_z
Cs1 0.0000 0.1601 0.0000
Hg1 0.1856 0.5000 0.3388
Cl1 0.0000 0.0000 0.5000
Cl2 0.1639 0.5000 0.8322
Cl3 0.1976 0.3429 0.3536